VASP calculation (PBE-GGA) on an optimized crystal structure of LiLa6Zn5.

Calculated values
Formation energy (eV/f.u.): -3.12
Calculated volume (Å³/cell): 322.3

Lattice parameters (Å, degrees): 9.248 9.248 9.248 146.51 131.83 59.94
Fractional positions:
Li: 0.000 0.000 0.000
La: 0.085 0.830 0.254
La: 0.260 0.500 0.760
La: 0.424 0.170 0.254
La: 0.576 0.830 0.746
La: 0.740 0.500 0.240
La: 0.915 0.170 0.746
Zn: 0.159 0.659 0.500
Zn: 0.334 0.334 0.000
Zn: 0.500 0.000 0.500
Zn: 0.666 0.666 0.000
Zn: 0.841 0.341 0.500